TlBrCl3: single point on PBEsol structure, SCAN.

Geometry as POSCAR:
```
TlBrCl3
1.0
5.1885 0.0000 0.0000
0.0000 5.1885 0.0000
0.0000 0.0000 5.1885
Tl Br Cl
1 1 3
Cartesian
0.0000 0.0000 0.0000
2.5942 2.5942 2.5942
0.0000 0.0000 2.5942
0.0000 2.5942 0.0000
2.5942 0.0000 0.0000
```

Calculated total energy in eV/atom: -23.35
Size of the total moment in Bohr magnetons per cell: 1.262
Crystal system: cubic

***

Tl2BrCl: single point on PBEsol structure, SCAN.

Geometry as POSCAR:
```
Tl2BrCl
1.0
0.0000 3.8277 3.8277
3.8277 0.0000 3.8277
3.8277 3.8277 0.0000
Tl Br Cl
2 1 1
Cartesian
1.9139 1.9139 1.9139
5.7416 5.7416 5.7416
0.0000 0.0000 0.0000
3.8277 3.8277 3.8277
```

Size of the total moment in Bohr magnetons per cell: 0.000
Crystal system: cubic
Polymorph energy (0 for the lowest one) in eV/atom: 0.005

***

Tl2BrCl: single point on PBEsol structure, SCAN.

Geometry as POSCAR:
```
Tl2BrCl
1.0
-3.5895 3.5895 7.0105
3.5895 -3.5895 7.0105
3.5895 3.5895 -7.0105
Tl Br Cl
4 2 2
Cartesian
5.3843 1.6881 -1.7526
1.6881 1.7948 1.7526
-1.7948 1.9014 5.2579
1.9014 1.7948 8.7631
3.5895 0.0000 3.5052
0.0000 0.0000 7.0105
0.0000 0.0000 0.0000
0.0000 3.5895 3.5052
```

Size of the total moment in Bohr magnetons per cell: 0.000
Crystal system: tetragonal
Polymorph energy (0 for the lowest one) in eV/atom: 0.135